## A
Below is an optimized crystal structure of Ta3AsOs, with properties calculated at the PBE-GGA level.

a = 4.856 Å, b = 4.856 Å, c = 4.856 Å
α = 90.00°, β = 90.00°, γ = 90.00°
Element x y z (fractional)
Ta  0.000  0.000  0.500
Ta  0.000  0.500  0.000
Ta  0.500  0.000  0.000
As  0.500  0.500  0.500
Os  0.000  0.000  0.000

- Space-group type: No. 221
- Density of states at the Fermi level: 5.1 states/eV/f.u.
- Mass density: 11.7 g cm⁻³

## B
Below is an optimized crystal structure of Ta3AsOs, with properties calculated at the PBE-GGA level.

a = 4.631 Å, b = 4.631 Å, c = 4.631 Å
α = 90.00°, β = 90.00°, γ = 90.00°
Element x y z (fractional)
Ta  0.000  0.000  0.500
Ta  0.000  0.500  0.000
Ta  0.500  0.000  0.000
As  0.000  0.000  0.000
Os  0.500  0.500  0.500

- Space-group type: No. 221
- Density of states at the Fermi level: 3.7 states/eV/f.u.
- Mass density: 13.5 g cm⁻³

Least stable structure: B

## A
Below is an optimized crystal structure of TaAs3Os, with properties calculated at the PBE-GGA level.

a = 4.922 Å, b = 4.922 Å, c = 4.922 Å
α = 90.00°, β = 90.00°, γ = 90.00°
Element x y z (fractional)
Ta  0.000  0.000  0.000
As  0.000  0.000  0.500
As  0.000  0.500  0.000
As  0.500  0.000  0.000
Os  0.500  0.500  0.500

- Space-group type: No. 221
- Density of states at the Fermi level: 6.9 states/eV/f.u.
- Mass density: 8.3 g cm⁻³

## B
Below is an optimized crystal structure of TaAs3Os, with properties calculated at the PBE-GGA level.

a = 4.771 Å, b = 4.771 Å, c = 4.771 Å
α = 90.00°, β = 90.00°, γ = 90.00°
Element x y z (fractional)
Ta  0.000  0.000  0.000
As  0.000  0.500  0.500
As  0.500  0.000  0.500
As  0.500  0.500  0.000
Os  0.500  0.500  0.500

- Space-group type: No. 221
- Density of states at the Fermi level: 6.8 states/eV/f.u.
- Mass density: 9.1 g cm⁻³

Least stable structure: A

## A
Below is an optimized crystal structure of TcAsOs, with properties calculated at the PBE-GGA level.

a = 4.228 Å, b = 4.228 Å, c = 2.858 Å
α = 90.00°, β = 90.00°, γ = 120.00°
Element x y z (fractional)
Tc  0.000  0.000  0.000
As  0.333  0.667  0.311
Os  0.667  0.333  0.499

- Space-group type: No. 156
- Density of states at the Fermi level: 1.8 states/eV/f.u.
- Mass density: 13.6 g cm⁻³

## B
Below is an optimized crystal structure of TcAsOs, with properties calculated at the PBE-GGA level.

a = 2.860 Å, b = 2.860 Å, c = 6.256 Å
α = 90.00°, β = 90.00°, γ = 120.00°
Element x y z (fractional)
Tc  0.000  0.000  0.000
As  0.333  0.667  0.667
Os  0.667  0.333  0.335

- Space-group type: No. 156
- Density of states at the Fermi level: 2.4 states/eV/f.u.
- Mass density: 13.6 g cm⁻³

Least stable structure: A

## A
Below is an optimized crystal structure of TcAsOs, with properties calculated at the PBE-GGA level.

a = 4.506 Å, b = 2.889 Å, c = 13.666 Å
α = 90.00°, β = 90.00°, γ = 90.00°
Element x y z (fractional)
Tc  0.000  0.000  0.000
Tc  0.000  0.000  0.332
Tc  0.000  0.500  0.500
Tc  0.000  0.500  0.832
As  0.000  0.000  0.658
As  0.000  0.500  0.158
As  0.500  0.000  0.241
As  0.500  0.500  0.741
Os  0.500  0.000  0.565
Os  0.500  0.000  0.900
Os  0.500  0.500  0.065
Os  0.500  0.500  0.400

- Space-group type: No. 38
- Density of states at the Fermi level: 2.7 states/eV/f.u.
- Mass density: 13.6 g cm⁻³

## B
Below is an optimized crystal structure of TcAsOs, with properties calculated at the PBE-GGA level.

a = 5.905 Å, b = 5.905 Å, c = 5.905 Å
α = 90.00°, β = 90.00°, γ = 90.00°
Element x y z (fractional)
Tc  0.000  0.000  0.000
Tc  0.000  0.500  0.500
Tc  0.500  0.000  0.500
Tc  0.500  0.500  0.000
As  0.000  0.000  0.500
As  0.000  0.500  0.000
As  0.500  0.000  0.000
As  0.500  0.500  0.500
Os  0.250  0.250  0.250
Os  0.250  0.750  0.750
Os  0.750  0.250  0.750
Os  0.750  0.750  0.250

- Space-group type: No. 216
- Density of states at the Fermi level: 3.3 states/eV/f.u.
- Mass density: 11.7 g cm⁻³

Least stable structure: B

## A
Below is an optimized crystal structure of TcAs4Os, with properties calculated at the PBE-GGA level.

a = 6.061 Å, b = 6.074 Å, c = 6.049 Å
α = 90.00°, β = 91.20°, γ = 90.00°
Element x y z (fractional)
Tc  0.000  0.000  0.000
Tc  0.000  0.500  0.500
As  0.129  0.129  0.377
As  0.129  0.371  0.877
As  0.378  0.625  0.372
As  0.378  0.875  0.872
As  0.622  0.125  0.128
As  0.622  0.375  0.628
As  0.871  0.629  0.123
As  0.871  0.871  0.623
Os  0.500  0.000  0.500
Os  0.500  0.500  0.000

- Space-group type: No. 14
- Density of states at the Fermi level: 5.5 states/eV/f.u.
- Mass density: 8.8 g cm⁻³

## B
Below is an optimized crystal structure of TcAs4Os, with properties calculated at the PBE-GGA level.

a = 5.281 Å, b = 5.281 Å, c = 5.281 Å
α = 60.00°, β = 60.00°, γ = 60.00°
Element x y z (fractional)
Tc  0.000  0.000  0.000
As  0.125  0.625  0.625
As  0.625  0.125  0.625
As  0.625  0.625  0.125
As  0.625  0.625  0.625
Os  0.250  0.250  0.250

- Space-group type: No. 216
- Density of states at the Fermi level: 5.4 states/eV/f.u.
- Mass density: 9.4 g cm⁻³

Least stable structure: B

## A
Below is an optimized crystal structure of TeAsOs2, with properties calculated at the PBE-GGA level.

a = 3.025 Å, b = 3.025 Å, c = 29.615 Å
α = 90.00°, β = 90.00°, γ = 120.00°
Element x y z (fractional)
Te  0.000  0.000  0.000
Te  0.333  0.667  0.667
Te  0.667  0.333  0.333
As  0.000  0.000  0.795
As  0.333  0.667  0.462
As  0.667  0.333  0.128
Os  0.000  0.000  0.262
Os  0.000  0.000  0.523
Os  0.333  0.667  0.189
Os  0.333  0.667  0.929
Os  0.667  0.333  0.596
Os  0.667  0.333  0.856

- Space-group type: No. 160
- Density of states at the Fermi level: 3.0 states/eV/f.u.
- Mass density: 12.4 g cm⁻³

## B
Below is an optimized crystal structure of TeAsOs2, with properties calculated at the PBE-GGA level.

a = 2.990 Å, b = 4.572 Å, c = 5.057 Å
α = 90.00°, β = 90.00°, γ = 90.00°
Element x y z (fractional)
Te  0.000  0.000  0.000
As  0.500  0.000  0.500
Os  0.000  0.500  0.500
Os  0.500  0.500  0.000

- Space-group type: No. 47
- Density of states at the Fermi level: 4.8 states/eV/f.u.
- Mass density: 14.0 g cm⁻³

## C
Below is an optimized crystal structure of TeAsOs2, with properties calculated at the PBE-GGA level.

a = 5.646 Å, b = 5.646 Å, c = 11.537 Å
α = 90.00°, β = 90.00°, γ = 90.00°
Element x y z (fractional)
Te  0.000  0.000  0.000
Te  0.000  0.500  0.250
Te  0.500  0.000  0.750
Te  0.500  0.500  0.500
As  0.000  0.000  0.500
As  0.000  0.500  0.750
As  0.500  0.000  0.250
As  0.500  0.500  0.000
Os  0.223  0.250  0.625
Os  0.250  0.723  0.875
Os  0.250  0.777  0.375
Os  0.277  0.250  0.125
Os  0.723  0.750  0.125
Os  0.750  0.223  0.375
Os  0.750  0.277  0.875
Os  0.777  0.750  0.625

- Space-group type: No. 122
- Density of states at the Fermi level: 1.3 states/eV/f.u.
- Mass density: 10.5 g cm⁻³

## D
Below is an optimized crystal structure of TeAsOs2, with properties calculated at the PBE-GGA level.

a = 3.001 Å, b = 5.060 Å, c = 9.078 Å
α = 90.00°, β = 90.00°, γ = 90.00°
Element x y z (fractional)
Te  0.000  0.000  0.000
Te  0.500  0.500  0.500
As  0.000  0.000  0.500
As  0.500  0.500  0.000
Os  0.000  0.500  0.223
Os  0.000  0.500  0.777
Os  0.500  0.000  0.277
Os  0.500  0.000  0.723

- Space-group type: No. 71
- Density of states at the Fermi level: 4.3 states/eV/f.u.
- Mass density: 14.0 g cm⁻³

Least stable structure: B